Nd2Mg2Sc | PBE-GGA | relaxed

**Spin magnetization**: 0.00 μB/cell
**ΔH_f (0 K)**: -0.022 eV per atom
**Energy**: -3.833 eV/atom
**DOS(E_F)**: 0.988 states/eV per atom
**Space group**: C2/m

Cell lengths 6.4047, 5.3805, 9.9642 Å; angles 57.16, 65.34, 114.71 degrees
Last column: nearest neighbours and their distance in Å.
Atoms (fractional coordinates):
1 Nd 0.1404 0.8557 0.2147  4 Mg 3.19-3.24, 3 Nd 3.50-3.51
2 Nd 0.8596 0.1443 0.7853  4 Mg 3.19-3.24, 3 Nd 3.50-3.51
3 Mg 0.3696 0.2776 0.4079  1 Mg 3.11, 4 Nd 3.19-3.24, 3 Sc 3.34-3.35
4 Sc 0.0000 0.5000 0.0000  6 Mg 3.34-3.35, 8 Nd 3.62-3.70
5 Mg 0.6304 0.7224 0.5921  1 Mg 3.11, 4 Nd 3.19-3.24, 3 Sc 3.34-3.35